# 1
Entry from the Alexandria database: BeCd4Re after structural relaxation (PBE).

abc: 5.4855 5.4855 5.4855
angles: 60.00 60.00 60.00
With the nearest neighbours (Å) after each atom.
Fractional positions:
Cd: 0.8744 0.3752 0.3752  6 Cd 2.74-2.75
Cd: 0.3752 0.8744 0.3752  6 Cd 2.74-2.75
Cd: 0.3752 0.3752 0.3752  6 Cd 2.74-2.75
Be: 0.0000 0.0000 0.0000  12 Cd 3.22, 4 Re 3.36
Re: 0.7500 0.7500 0.7500  12 Cd 3.22, 4 Be 3.36
Cd: 0.3752 0.3752 0.8744  6 Cd 2.74-2.75

Calculated values
The space-group type is F-43m. The density of states at the Fermi level is 5.8 states/eV/cell. Its total energy is -2.278 eV per atom.



# 2
Entry from the Alexandria database: Be2CdRe2 after structural relaxation (PBE).

abc: 6.2365 6.2365 3.2588
angles: 90.00 90.00 90.00
With the nearest neighbours (Å) after each atom.
Fractional positions:
Be: 0.3827 0.8827 0.0000  1 Be 2.07
Re: 0.3334 0.1666 0.5000  6 Be 2.43-2.51
Be: 0.6173 0.1173 0.0000  1 Be 2.07
Re: 0.1666 0.6666 0.5000  6 Be 2.43-2.51
Cd: 0.5000 0.5000 0.0000  4 Be 2.50
Cd: 0.0000 0.0000 0.0000  4 Be 2.50
Re: 0.8334 0.3334 0.5000  6 Be 2.43-2.51
Be: 0.8827 0.6173 0.0000  1 Be 2.07
Be: 0.1173 0.3827 0.0000  1 Be 2.07
Re: 0.6666 0.8334 0.5000  6 Be 2.43-2.51

Calculated values
Its energy relative to the lowest polymorph listed for this composition is 0.0 kJ/mol of atoms. The space-group type is P4/mbm. The density of states at the Fermi level is 12.5 states/eV/cell.



# 3
Entry from the Alexandria database: BeCd2Re after structural relaxation (PBE).

abc: 3.7696 3.7696 10.1256
angles: 79.27 79.27 90.00
With the nearest neighbours (Å) after each atom.
Fractional positions:
Cd: 0.8750 0.8730 0.7500  4 Cd 2.66-2.68, 2 Be 2.78, 2 Re 2.78
Cd: 0.3750 0.3770 0.7500  4 Cd 2.66-2.68, 2 Be 2.78, 2 Re 2.78
Cd: 0.6230 0.1250 0.2500  4 Cd 2.66-2.68, 2 Be 2.78, 2 Re 2.78
Be: 0.5000 0.5000 0.0000  4 Re 2.67, 4 Cd 2.78
Cd: 0.1270 0.6250 0.2500  4 Cd 2.66-2.68, 2 Be 2.78, 2 Re 2.78
Re: 0.7500 0.2500 0.5000  4 Be 2.67, 4 Cd 2.78
Be: 0.2500 0.7500 0.5000  4 Re 2.67, 4 Cd 2.78
Re: 0.0000 0.0000 0.0000  4 Be 2.67, 4 Cd 2.78

Calculated values
The space-group type is I-42d. The density of states at the Fermi level is 5.2 states/eV/cell. Its total energy is -3.519 eV per atom.



# 4
Entry from the Alexandria database: BeCd2Re after structural relaxation (PBE).

abc: 5.2761 5.2761 5.2761
angles: 138.18 138.18 60.62
With the nearest neighbours (Å) after each atom.
Fractional positions:
Be: 0.7500 0.2500 0.5000  4 Re 2.66, 8 Cd 2.96
Cd: 0.5000 0.5000 0.0000  4 Cd 2.66, 4 Re 2.96, 4 Be 2.96
Cd: 0.0000 0.0000 0.0000  4 Cd 2.66, 4 Re 2.96, 4 Be 2.96
Re: 0.2500 0.7500 0.5000  4 Be 2.66, 8 Cd 2.96

Calculated values
The space-group type is I4/mmm. The density of states at the Fermi level is 3.1 states/eV/cell. Its total energy is -3.809 eV per atom.



# 5
Entry from the Alexandria database: Be2CdRe after structural relaxation (PBE).

abc: 3.0276 3.0276 5.8039
angles: 90.00 90.00 90.00
With the nearest neighbours (Å) after each atom.
Fractional positions:
Be: 0.0000 0.0000 0.9337  1 Be 2.13
Re: 0.5000 0.5000 0.7500  8 Be 2.39
Be: 0.0000 0.0000 0.5663  1 Be 2.13
Cd: 0.5000 0.5000 0.2500  8 Be 2.82, 2 Re 2.90, 4 Cd 3.03

Calculated values
The space-group type is P4/mmm. The density of states at the Fermi level is 2.2 states/eV/cell. Its total energy is -5.015 eV per atom.



# 6
Entry from the Alexandria database: BeCd2Re after structural relaxation (PBE).

abc: 4.9986 4.9986 4.9986
angles: 133.15 133.15 68.42
With the nearest neighbours (Å) after each atom.
Fractional positions:
Be: 0.7500 0.2500 0.5000  8 Cd 2.81-2.87, 4 Re 2.87
Cd: 0.2500 0.7500 0.5000  4 Be 2.81, 4 Cd 2.87, 4 Re 2.87
Re: 0.5000 0.5000 0.0000  8 Cd 2.81-2.87, 4 Be 2.87
Cd: 0.0000 0.0000 0.0000  4 Re 2.81, 4 Cd 2.87, 4 Be 2.87

Calculated values
The space-group type is I-4m2. The density of states at the Fermi level is 4.3 states/eV/cell. Its total energy is -3.727 eV per atom.



# 7
Entry from the Alexandria database: Be2CdRe2 after structural relaxation (PBE).

abc: 3.6939 3.6939 5.9331
angles: 71.86 71.86 90.00
With the nearest neighbours (Å) after each atom.
Fractional positions:
Re: 0.2500 0.7500 0.5000  4 Be 2.42, 4 Re 2.61
Cd: 0.0000 0.0000 0.0000  8 Be 2.83
Be: 0.3966 0.3966 0.2069  1 Be 2.20, 4 Re 2.42
Re: 0.7500 0.2500 0.5000  4 Be 2.42, 4 Re 2.61
Be: 0.6034 0.6034 0.7931  1 Be 2.20, 4 Re 2.42

Calculated values
Its energy relative to the lowest polymorph listed for this composition is 22.8 kJ/mol of atoms. The space-group type is I4/mmm. The density of states at the Fermi level is 4.0 states/eV/cell.



# 8
Entry from the Alexandria database: Be2CdRe after structural relaxation (PBE).

abc: 6.3423 6.3423 5.2565
angles: 52.89 52.89 90.00
With the nearest neighbours (Å) after each atom.
Fractional positions:
Cd: 0.5000 0.5000 0.0000  4 Be 2.40
Be: 0.6369 0.1250 0.2500  2 Re 2.29, 2 Cd 2.40
Be: 0.1131 0.6250 0.2500  2 Re 2.29, 2 Cd 2.40
Cd: 0.2500 0.7500 0.5000  4 Be 2.40
Be: 0.8750 0.8869 0.7500  2 Re 2.29, 2 Cd 2.40
Be: 0.3750 0.3631 0.7500  2 Re 2.29, 2 Cd 2.40
Re: 0.0000 0.0000 0.0000  4 Be 2.29
Re: 0.7500 0.2500 0.5000  4 Be 2.29

Calculated values
The space-group type is I-42d. The density of states at the Fermi level is 6.1 states/eV/cell. Its total energy is -4.460 eV per atom.



# 9
Entry from the Alexandria database: Be2CdRe after structural relaxation (PBE).

abc: 2.6936 2.6936 7.9853
angles: 90.00 90.00 108.35
With the nearest neighbours (Å) after each atom.
Fractional positions:
Be: 0.0000 0.0000 0.9684  2 Re 2.35
Be: 0.0000 0.0000 0.5316  2 Re 2.35
Re: 0.5000 0.5000 0.7500  4 Be 2.35
Cd: 0.5000 0.5000 0.2500  4 Cd 2.69, 4 Be 2.75

Calculated values
The space-group type is Cmmm. The density of states at the Fermi level is 1.8 states/eV/cell. Its total energy is -4.866 eV per atom.



# 10
Entry from the Alexandria database: BeCdRe3 after structural relaxation (PBE).

abc: 4.2246 4.2246 4.2246
angles: 90.00 90.00 90.00
With the nearest neighbours (Å) after each atom.
Fractional positions:
Cd: 0.5000 0.5000 0.5000  12 Re 2.99
Re: 0.0000 0.5000 0.0000  2 Be 2.11
Re: 0.5000 0.0000 0.0000  2 Be 2.11
Be: 0.0000 0.0000 0.0000  6 Re 2.11
Re: 0.0000 0.0000 0.5000  2 Be 2.11

Calculated values
The space-group type is Pm-3m. The density of states at the Fermi level is 5.0 states/eV/cell. Its total energy is -7.426 eV per atom.



# 11
Entry from the Alexandria database: Be2CdRe after structural relaxation (PBE).

abc: 4.7695 4.7695 4.3982
angles: 73.42 73.42 32.63
With the nearest neighbours (Å) after each atom.
Fractional positions:
Re: 0.2686 0.2686 0.1790  7 Be 2.54-2.66, 2 Re 2.68
Cd: 0.4861 0.4861 0.5555  7 Be 2.53-2.62, 2 Cd 2.68
Be: 0.0169 0.0169 0.0451  4 Be 2.44-2.68, 3 Re 2.54-2.55, 4 Cd 2.56-2.62
Be: 0.7284 0.7284 0.7204  4 Be 2.44-2.68, 3 Cd 2.53-2.62, 4 Re 2.54-2.66

Calculated values
The space-group type is Cm. The density of states at the Fermi level is 1.4 states/eV/cell. Its total energy is -4.893 eV per atom.



# 12
Entry from the Alexandria database: BeCd2Re after structural relaxation (PBE).

abc: 3.0245 3.0245 7.1839
angles: 90.00 90.00 90.00
With the nearest neighbours (Å) after each atom.
Fractional positions:
Cd: 0.0000 0.0000 0.9641  4 Be 2.89, 1 Re 2.89, 8 Cd 3.02-3.12
Re: 0.0000 0.0000 0.5619  4 Be 2.34
Be: 0.5000 0.5000 0.6942  4 Re 2.34
Cd: 0.5000 0.5000 0.2798  4 Re 2.95, 1 Be 2.98, 8 Cd 3.02-3.12

Calculated values
The space-group type is P4mm. The density of states at the Fermi level is 2.8 states/eV/cell. Its total energy is -4.127 eV per atom.